No. 1
! Ti3PbAu | Alexandria via LeMat-Bulk | PBE | optimized geometry; values from VASP
! VASP energy, eV for the cell shown: -28.1
! Relative energy among the computed polymorphs, meV per atom: 0.0
! Formation energy from the elements, eV/atom: 0.506
&SYSTEM
  ibrav = 0, nat = 5, ntyp = 3
/
ATOMIC_SPECIES
Ti 47.87 Ti.upf
Pb 207.20 Pb.upf
Au 196.97 Au.upf
ATOMIC_POSITIONS angstrom
Ti 0.000 0.000 2.455
Ti 0.000 2.455 0.000
Ti 2.455 0.000 0.000
Pb 2.455 2.455 2.455
Au 0.000 0.000 0.000
CELL_PARAMETERS angstrom
4.911 0.000 0.000
0.000 4.911 0.000
0.000 0.000 4.911



No. 2
! Ti2Pb2Au | Alexandria via LeMat-Bulk | PBE | optimized geometry; values from VASP
! VASP energy, eV for the cell shown: -52.8
! Formation energy from the elements, eV/atom: 0.022
&SYSTEM
  ibrav = 0, nat = 10, ntyp = 3
/
ATOMIC_SPECIES
Ti 47.87 Ti.upf
Pb 207.20 Pb.upf
Au 196.97 Au.upf
ATOMIC_POSITIONS angstrom
Ti 0.941 2.622 0.000
Ti 2.622 6.186 0.000
Ti 4.504 0.941 0.000
Ti 6.186 4.504 0.000
Pb 1.238 4.801 2.136
Pb 2.326 1.238 2.136
Pb 4.801 5.889 2.136
Pb 5.889 2.326 2.136
Au 0.000 0.000 0.000
Au 3.563 3.563 0.000
CELL_PARAMETERS angstrom
7.126 0.000 0.000
0.000 7.126 0.000
0.000 0.000 4.272



No. 3
! TiPb2Au | Alexandria via LeMat-Bulk | PBE | optimized geometry; values from VASP
! VASP energy, eV for the cell shown: -34.7
! Relative energy among the computed polymorphs, meV per atom: 60.0
! Formation energy from the elements, eV/atom: 0.309
&SYSTEM
  ibrav = 0, nat = 8, ntyp = 3
/
ATOMIC_SPECIES
Ti 47.87 Ti.upf
Pb 207.20 Pb.upf
Au 196.97 Au.upf
ATOMIC_POSITIONS angstrom
Ti 0.000 0.000 0.000
Ti 0.000 3.939 1.576
Pb 1.969 2.051 -0.788
Pb 5.827 1.969 0.788
Pb 1.969 1.888 2.364
Pb -1.888 1.969 3.940
Au 3.939 0.000 1.576
Au 0.000 0.000 3.152
CELL_PARAMETERS angstrom
-3.939 3.939 3.152
3.939 -3.939 3.152
3.939 3.939 -3.152



No. 4
! Ti4PbAu | Alexandria via LeMat-Bulk | PBE | optimized geometry; values from VASP
! VASP energy, eV for the cell shown: -39.5
! Formation energy from the elements, eV/atom: -0.160
&SYSTEM
  ibrav = 0, nat = 6, ntyp = 3
/
ATOMIC_SPECIES
Ti 47.87 Ti.upf
Pb 207.20 Pb.upf
Au 196.97 Au.upf
ATOMIC_POSITIONS angstrom
Ti 2.366 3.211 0.000
Ti 2.189 1.699 2.359
Ti 2.189 -1.699 2.359
Ti 2.366 -3.211 0.000
Pb 2.366 0.000 0.000
Au -0.176 0.000 2.359
CELL_PARAMETERS angstrom
2.366 -4.894 0.000
2.366 4.894 0.000
-0.352 0.000 4.717



No. 5
! Ti6PbAu | Alexandria via LeMat-Bulk | PBE | optimized geometry; values from VASP
! VASP energy, eV for the cell shown: -55.3
! Formation energy from the elements, eV/atom: -0.121
&SYSTEM
  ibrav = 0, nat = 8, ntyp = 3
/
ATOMIC_SPECIES
Ti 47.87 Ti.upf
Pb 207.20 Pb.upf
Au 196.97 Au.upf
ATOMIC_POSITIONS angstrom
Ti -1.450 2.526 0.000
Ti 0.000 1.697 2.415
Ti -1.443 4.196 2.415
Ti 1.450 2.526 0.000
Ti 0.000 5.037 0.000
Ti 1.443 4.196 2.415
Pb 2.912 1.681 2.415
Au 0.000 0.000 0.000
CELL_PARAMETERS angstrom
5.825 0.000 0.000
-2.912 5.044 0.000
0.000 0.000 4.831



No. 6
! Ti8Pb2Au | Alexandria via LeMat-Bulk | PBE | optimized geometry; values from VASP
! VASP energy, eV for the cell shown: -74.9
! Formation energy from the elements, eV/atom: -0.095
&SYSTEM
  ibrav = 0, nat = 11, ntyp = 3
/
ATOMIC_SPECIES
Ti 47.87 Ti.upf
Pb 207.20 Pb.upf
Au 196.97 Au.upf
ATOMIC_POSITIONS angstrom
Ti 0.633 0.000 1.504
Ti 3.594 0.000 1.899
Ti 4.860 0.000 4.636
Ti 6.391 0.000 2.387
Ti 8.937 0.000 2.953
Ti 10.468 0.000 0.704
Ti 11.734 0.000 3.440
Ti 14.695 0.000 3.836
Pb 1.992 0.000 4.343
Pb 13.335 0.000 0.997
Au 7.852 0.000 0.000
CELL_PARAMETERS angstrom
7.852 -2.397 0.000
7.852 2.397 0.000
-0.376 0.000 5.340